Computed, not measured: an optimized crystal structure of ZnCr4CoO8 at the PBE with a Hubbard U level of DFT.

Lattice parameters (Å, degrees): 6.003 6.003 6.003 60.00 60.00 60.00
Sites, in units of the cell vectors:
1 O 0.841 0.386 0.386
2 O 0.864 0.409 0.864
3 O 0.864 0.864 0.864
4 O 0.386 0.386 0.386
5 O 0.864 0.864 0.409
6 O 0.386 0.841 0.386
7 O 0.386 0.386 0.841
8 O 0.409 0.864 0.864
9 Co 0.000 0.000 0.000
10 Cr 0.125 0.625 0.625
11 Cr 0.625 0.625 0.125
12 Cr 0.625 0.625 0.625
13 Cr 0.625 0.125 0.625
14 Zn 0.250 0.250 0.250

Values from the calculation:
* crystal system: cubic
* space group: F-43m, No. 216
* total magnetic moment: 15.0 μB per cell
* calculated total energy: -7.260 eV/atom